# PBE NiHgSbSe2, optimized geometry
data_NiHgSbSe2
_cell_length_a 5.2504
_cell_length_b 5.2504
_cell_length_c 4.7805
_cell_angle_alpha 90.00
_cell_angle_beta 90.00
_cell_angle_gamma 90.00
_symmetry_space_group_name_H-M 'P 4/m m m'
_symmetry_Int_Tables_number 123
_symmetry_space_group_name_Hall '-P 4 2'
loop_
_atom_site_label
_atom_site_type_symbol
_atom_site_fract_x
_atom_site_fract_y
_atom_site_fract_z
Ni1 Ni 0.0000 0.0000 0.0000
Hg1 Hg 0.0000 0.0000 0.5000
Sb1 Sb 0.5000 0.5000 0.0000
Se1 Se 0.0000 0.5000 0.5000
# DOS(E_F) = 4.52 states/eV per cell
# Final energy = -12.791 eV per cell
# Total magnetization = 0.00 μB per formula unit



# PBE SrNiHg2Sb, optimized geometry
data_SrNiHg2Sb
_cell_length_a 5.0510
_cell_length_b 5.0510
_cell_length_c 5.1417
_cell_angle_alpha 90.00
_cell_angle_beta 90.00
_cell_angle_gamma 90.00
_symmetry_space_group_name_H-M 'P 4/m m m'
_symmetry_Int_Tables_number 123
_symmetry_space_group_name_Hall '-P 4 2'
loop_
_atom_site_label
_atom_site_type_symbol
_atom_site_fract_x
_atom_site_fract_y
_atom_site_fract_z
Sr1 Sr 0.0000 0.0000 0.0000
Ni1 Ni 0.5000 0.5000 0.5000
Hg1 Hg 0.0000 0.5000 0.5000
Sb1 Sb 0.5000 0.5000 0.0000
# DOS(E_F) = 3.02 states/eV per cell
# Final energy = -13.639 eV per cell
# Total magnetization = 0.00 μB per formula unit



# PBE TaNiHgSb2, optimized geometry
data_TaNiHgSb2
_cell_length_a 4.9139
_cell_length_b 4.9139
_cell_length_c 4.8070
_cell_angle_alpha 90.00
_cell_angle_beta 90.00
_cell_angle_gamma 90.00
_symmetry_space_group_name_H-M 'P 4/m m m'
_symmetry_Int_Tables_number 123
_symmetry_space_group_name_Hall '-P 4 2'
loop_
_atom_site_label
_atom_site_type_symbol
_atom_site_fract_x
_atom_site_fract_y
_atom_site_fract_z
Ta1 Ta 0.0000 0.0000 0.0000
Ni1 Ni 0.5000 0.5000 0.5000
Hg1 Hg 0.5000 0.5000 0.0000
Sb1 Sb 0.0000 0.5000 0.5000
# DOS(E_F) = 5.18 states/eV per cell
# Final energy = -21.879 eV per cell
# Total magnetization = 1.57 μB per formula unit



# PBE NiHgSbTe2, optimized geometry
data_NiHgSbTe2
_cell_length_a 5.2889
_cell_length_b 5.2889
_cell_length_c 4.8291
_cell_angle_alpha 90.00
_cell_angle_beta 90.00
_cell_angle_gamma 90.00
_symmetry_space_group_name_H-M 'P 4/m m m'
_symmetry_Int_Tables_number 123
_symmetry_space_group_name_Hall '-P 4 2'
loop_
_atom_site_label
_atom_site_type_symbol
_atom_site_fract_x
_atom_site_fract_y
_atom_site_fract_z
Ni1 Ni 0.0000 0.0000 0.0000
Hg1 Hg 0.5000 0.5000 0.5000
Sb1 Sb 0.0000 0.0000 0.5000
Te1 Te 0.0000 0.5000 0.0000
# DOS(E_F) = 5.21 states/eV per cell
# Relative energy among the computed polymorphs = 0.0 meV per atom
# Final energy = -15.046 eV per cell
# Total magnetization = 0.00 μB per formula unit